1.
The following is a PBE calculation of crystalline Ca2CdNiPb at its relaxed geometry, from the Alexandria database.

Cell lengths 5.474, 5.474, 4.870 Å; angles 90.00, 90.00, 90.00 degrees
Space group P4/mmm (No. 123)
Symmetry-distinct sites (fractional):
Ca (0.000, 0.500, 0.000)
Cd (0.000, 0.000, 0.500)
Ni (0.500, 0.500, 0.000)
Pb (0.500, 0.500, 0.500)

Output
polymorph energy (0 for the lowest one) = 0.0 meV per atom

***

2.
The following is a PBE calculation of crystalline Ca2CdNiPb at its relaxed geometry, from the Alexandria database.

Cell lengths 6.020, 6.020, 5.412 Å; angles 90.00, 90.00, 90.00 degrees
Space group P4/mmm (No. 123)
Symmetry-distinct sites (fractional):
Ca (0.000, 0.500, 0.000)
Cd (0.000, 0.000, 0.500)
Ni (0.500, 0.500, 0.500)
Pb (0.000, 0.000, 0.000)

Output
polymorph energy (0 for the lowest one) = 777.9 meV per atom

***

3.
The following is a PBE calculation of crystalline Ca2CdNiPb at its relaxed geometry, from the Alexandria database.

Cell lengths 5.757, 5.757, 4.736 Å; angles 90.00, 90.00, 90.00 degrees
Space group P4/mmm (No. 123)
Symmetry-distinct sites (fractional):
Ca (0.000, 0.500, 0.000)
Cd (0.000, 0.000, 0.000)
Ni (0.000, 0.000, 0.500)
Pb (0.500, 0.500, 0.500)

Output
polymorph energy (0 for the lowest one) = 424.5 meV per atom

***

4.
The following is a PBE calculation of crystalline CaCd2NiPb at its relaxed geometry, from the Alexandria database.

Cell lengths 5.037, 5.037, 5.027 Å; angles 90.00, 90.00, 90.00 degrees
Space group P4/mmm (No. 123)
Symmetry-distinct sites (fractional):
Ca (0.000, 0.000, 0.000)
Cd (0.000, 0.500, 0.500)
Ni (0.500, 0.500, 0.500)
Pb (0.500, 0.500, 0.000)

***

5.
The following is a PBE calculation of crystalline CaCdNiPd at its relaxed geometry, from the Alexandria database.

Cell lengths 6.663, 6.663, 6.663 Å; angles 90.00, 90.00, 90.00 degrees
Space group F-43m (No. 216)
Symmetry-distinct sites (fractional):
Ca (0.000, 0.000, 0.000)
Cd (0.000, 0.000, 0.500)
Ni (0.250, 0.250, 0.750)
Pd (0.250, 0.250, 0.250)

***

6.
The following is a PBE calculation of crystalline CaPmCdNi at its relaxed geometry, from the Alexandria database.

Cell lengths 7.287, 7.287, 7.287 Å; angles 90.00, 90.00, 90.00 degrees
Space group F-43m (No. 216)
Symmetry-distinct sites (fractional):
Ca (0.000, 0.000, 0.000)
Pm (0.000, 0.000, 0.500)
Cd (0.250, 0.250, 0.750)
Ni (0.250, 0.250, 0.250)

***

Number 1: raw total energy -3.076 eV/atom, energy relative to the elements -0.97 eV/f.u.. Number 2: raw total energy -2.298 eV/atom, energy relative to the elements 2.92 eV/f.u.. Number 3: raw total energy -2.651 eV/atom, energy relative to the elements 1.15 eV/f.u.. Number 4: raw total energy -2.762 eV/atom, energy relative to the elements -0.49 eV/f.u.. Number 5: raw total energy -3.718 eV/atom, energy relative to the elements -0.98 eV/f.u.. Number 6: raw total energy -3.532 eV/atom, energy relative to the elements -0.68 eV/f.u..